# ThSiNi

Crystalline ThSiNi at its relaxed geometry (PBE, the Alexandria database).

raw formation energy: -649.7 meV per atom
symmetry: F-43m
M_tot: 0.00 μB per atom

Cell lengths 4.4553, 4.4553, 4.4553 Å; angles 60.00, 60.00, 60.00 degrees
Fractional positions:
Ni 0.2500 0.2500 0.2500
Si 0.0000 0.0000 0.0000
Th 0.5000 0.5000 0.5000